CaBe2Br (PBE, relaxed); energy above the most stable polymorph in this dataset = 113 meV/atom; space-group type = Pmm2 (25); density = 2.46 g cm⁻³; size of the total moment = 0.000 Bohr magnetons per cell; formation energy from raw total energies = 0.037 eV/atom
1.0
3.3233 0.0000 0.0000
0.0000 3.2400 0.0000
0.0000 0.0000 8.6507
Br Ca Be
1 1 2
Direct
0.0000 0.0000 0.5764 Br
0.5000 0.5000 0.7736 Ca
0.0000 0.0000 0.0481 Be
0.5000 0.5000 0.1019 Be